# Pm5Nd4Tl, relaxed, DFT PBE
data_Pm5Nd4Tl
_cell_length_a 4.269
_cell_length_b 4.269
_cell_length_c 18.324
_cell_angle_alpha 90.00
_cell_angle_beta 90.00
_cell_angle_gamma 90.00
_symmetry_space_group_name_H-M 'P 1'
_symmetry_Int_Tables_number 1
_symmetry_space_group_name_Hall 'P 1'
loop_
_atom_site_label
_atom_site_fract_x
_atom_site_fract_y
_atom_site_fract_z
_atom_site_occupancy
Pm1 0.000 0.000 0.000 1
Pm2 0.000 0.000 0.207 1
Pm3 0.000 0.000 0.412 1
Pm4 0.000 0.000 0.588 1
Pm5 0.000 0.000 0.793 1
Nd1 0.500 0.500 0.101 1
Nd2 0.500 0.500 0.303 1
Nd3 0.500 0.500 0.697 1
Nd4 0.500 0.500 0.899 1
Tl1 0.500 0.500 0.500 1
# - SG = P4/mmm, No. 123
# - excess energy over the best structure of this formula in the dataset (eV/atom) = 0.000

# Pm2NdTl, relaxed, DFT PBE
data_Pm2NdTl
_cell_length_a 4.985
_cell_length_b 4.985
_cell_length_c 4.957
_cell_angle_alpha 90.00
_cell_angle_beta 90.00
_cell_angle_gamma 90.00
_symmetry_space_group_name_H-M 'P 1'
_symmetry_Int_Tables_number 1
_symmetry_space_group_name_Hall 'P 1'
loop_
_atom_site_label
_atom_site_fract_x
_atom_site_fract_y
_atom_site_fract_z
_atom_site_occupancy
Pm1 0.000 0.500 0.000 1
Pm2 0.500 0.000 0.000 1
Nd1 0.000 0.000 0.500 1
Tl1 0.500 0.500 0.500 1
# - SG = P4/mmm, No. 123
# - excess energy over the best structure of this formula in the dataset (eV/atom) = 0.000

# Pm3Nd2Tl, relaxed, DFT PBE
data_Pm3Nd2Tl
_cell_length_a 9.420
_cell_length_b 9.420
_cell_length_c 7.055
_cell_angle_alpha 90.00
_cell_angle_beta 90.00
_cell_angle_gamma 39.84
_symmetry_space_group_name_H-M 'P 1'
_symmetry_Int_Tables_number 1
_symmetry_space_group_name_Hall 'P 1'
loop_
_atom_site_label
_atom_site_fract_x
_atom_site_fract_y
_atom_site_fract_z
_atom_site_occupancy
Pm1 0.178 0.822 0.750 1
Pm2 0.360 0.360 0.000 1
Pm3 0.360 0.360 0.500 1
Pm4 0.640 0.640 0.000 1
Pm5 0.640 0.640 0.500 1
Pm6 0.822 0.178 0.250 1
Nd1 0.166 0.198 0.750 1
Nd2 0.198 0.166 0.250 1
Nd3 0.802 0.834 0.750 1
Nd4 0.834 0.802 0.250 1
Tl1 0.306 0.694 0.250 1
Tl2 0.694 0.306 0.750 1
# - SG = Cmcm, No. 63
# - excess energy over the best structure of this formula in the dataset (eV/atom) = 0.036

# Pm3Nd2Tl4, relaxed, DFT PBE
data_Pm3Nd2Tl4
_cell_length_a 8.972
_cell_length_b 8.972
_cell_length_c 9.559
_cell_angle_alpha 90.00
_cell_angle_beta 90.00
_cell_angle_gamma 131.34
_symmetry_space_group_name_H-M 'P 1'
_symmetry_Int_Tables_number 1
_symmetry_space_group_name_Hall 'P 1'
loop_
_atom_site_label
_atom_site_fract_x
_atom_site_fract_y
_atom_site_fract_z
_atom_site_occupancy
Pm1 0.000 0.000 0.000 1
Pm2 0.033 0.467 0.250 1
Pm3 0.467 0.033 0.750 1
Pm4 0.500 0.500 0.500 1
Pm5 0.533 0.967 0.250 1
Pm6 0.967 0.533 0.750 1
Nd1 0.108 0.892 0.431 1
Nd2 0.392 0.608 0.931 1
Nd3 0.608 0.392 0.069 1
Nd4 0.892 0.108 0.569 1
Tl1 0.190 0.810 0.032 1
Tl2 0.226 0.274 0.250 1
Tl3 0.274 0.226 0.750 1
Tl4 0.310 0.690 0.532 1
Tl5 0.690 0.310 0.468 1
Tl6 0.726 0.774 0.250 1
Tl7 0.774 0.726 0.750 1
Tl8 0.810 0.190 0.968 1
# - SG = Cmce, No. 64
# - excess energy over the best structure of this formula in the dataset (eV/atom) = 0.082

| no. | E_form (meV per atom) | E (eV/atom) |
| --- | --- | --- |
| 1 | 18 | -4.50 |
| 2 | -202 | -4.36 |
| 3 | -70 | -4.43 |
| 4 | -237 | -3.93 |